B2C after structural relaxation. Source: Alexandria via LeMat-Bulk, functional PBE-GGA.

Summary:
space group	P1, No. 1
energy above the most stable polymorph in this dataset	355.1	meV/atom
E_form	540	meV per atom

abc: 4.446 5.086 5.203
angles: 74.90 69.15 67.54
Element x y z (fractional)
B  0.000  0.000  0.000
B  0.003  0.483  0.222
B  0.216  0.230  0.016
B  0.524  0.695  0.245
B  0.531  0.173  0.710
B  0.625  0.987  0.012
B  0.668  0.465  0.523
B  0.948  0.971  0.682
C  0.120  0.722  0.494
C  0.165  0.193  0.725
C  0.170  0.731  0.188
C  0.984  0.469  0.579